This record from Alexandria describes a geometry-optimized CsSnP2Pt4 structure. The functional is PBE.

The total energy is -5.520 eV per atom. As for the size of the total moment: 0.000 Bohr magnetons per cell. The formation energy comes out at -540 meV per atom.

It has space group P4/mmm (No. 123), with a = 4.007 Å, b = 4.007 Å, c = 11.160 Å, α = 90.00°, β = 90.00° and γ = 90.00°. The asymmetric unit holds Cs at (0.000, 0.000, 0.000), Sn at (0.000, 0.000, 0.500), P at (0.500, 0.500, 0.208) and Pt at (0.000, 0.500, 0.320).